Material: K2LaCd2S4
Method: DFT, PBE-GGA
State: optimized geometry Values from VASP.

The structure in Quantum ESPRESSO input format:
```
&SYSTEM
  ibrav = 0, nat = 9, ntyp = 4
/
ATOMIC_SPECIES
K 39.10 K.upf
La 138.91 La.upf
Cd 112.41 Cd.upf
S 32.06 S.upf
ATOMIC_POSITIONS angstrom
K 1.886 0.000 0.406
K 11.279 0.000 7.001
La -1.630 0.000 3.703
Cd 3.570 0.000 3.541
Cd 9.595 0.000 3.866
S 0.782 0.000 5.381
S 5.399 0.000 5.372
S 7.766 0.000 2.035
S 12.383 0.000 2.025
CELL_PARAMETERS angstrom
8.212 -2.073 0.000
8.212 2.073 0.000
-3.260 0.000 7.407
```

Output
SG	C2/m
DFT total energy	-3.976	eV per atom
volume	28.02	Å³/atom
DOS(E_F)	2.99	states/eV per cell